No. 1
DFT (PBE) results for a geometry-optimized Nd2Sm4Se9 structure.

Cell: 7.415 7.419 19.827 Å, 90.01 90.06 60.09°
Fractional positions:
1 Nd 0.999 0.002 0.351
2 Nd 0.000 0.998 0.149
3 Nd 0.001 0.998 0.649
4 Nd 0.000 0.002 0.851
5 Sm 0.333 0.334 0.984
6 Sm 0.334 0.333 0.485
7 Sm 0.667 0.666 0.016
8 Sm 0.332 0.334 0.184
9 Sm 0.666 0.667 0.515
10 Sm 0.665 0.667 0.317
11 Sm 0.335 0.333 0.683
12 Sm 0.668 0.666 0.816
13 Se 0.001 0.303 0.750
14 Se 0.303 0.697 0.750
15 Se 0.697 0.001 0.750
16 Se 0.999 0.697 0.250
17 Se 0.697 0.303 0.250
18 Se 0.303 0.999 0.250
19 Se 0.660 0.971 0.416
20 Se 0.969 0.370 0.417
21 Se 0.368 0.662 0.416
22 Se 0.629 0.032 0.083
23 Se 0.339 0.629 0.084
24 Se 0.032 0.337 0.083
25 Se 0.340 0.029 0.584
26 Se 0.031 0.630 0.583
27 Se 0.632 0.338 0.584
28 Se 0.371 0.968 0.917
29 Se 0.661 0.371 0.916
30 Se 0.968 0.663 0.917

Computed properties:
Crystal system = triclinic
Energy relative to the elements, uncorrected = -1.8739 eV/atom
Symmetry = P-1, No. 2
VASP energy = -175.76 eV/cell
Size of the total moment = 0.000 μB per formula unit

***

No. 2
DFT (PBE) results for a geometry-optimized NdSm3Se4 structure.

Cell: 4.144 7.280 7.280 Å, 108.95 90.00 90.00°
Fractional positions:
1 Nd 0.500 0.000 0.000
2 Sm 0.000 0.000 0.500
3 Sm 0.500 0.500 0.500
4 Sm 0.000 0.500 0.000
5 Se 0.000 0.253 0.253
6 Se 0.500 0.748 0.252
7 Se 0.000 0.747 0.747
8 Se 0.500 0.252 0.748

Computed properties:
Polymorph energy (0 for the lowest one) = 0.000 eV/atom
Crystal system = orthorhombic
Energy relative to the elements, uncorrected = -1.8204 eV/atom
Symmetry = Cmmm, No. 65
VASP energy = -47.43 eV/cell
Size of the total moment = 0.000 μB per formula unit

***

No. 3
DFT (PBE) results for a geometry-optimized Nd2Sm2Se3 structure.

Cell: 4.119 7.169 7.206 Å, 99.46 90.03 106.68°
Fractional positions:
1 Nd 0.877 0.755 0.619
2 Nd 0.123 0.245 0.381
3 Sm 0.627 0.253 0.876
4 Sm 0.373 0.747 0.124
5 Se 0.000 0.000 0.000
6 Se 0.747 0.495 0.246
7 Se 0.253 0.505 0.754

Computed properties:
Crystal system = triclinic
Energy relative to the elements, uncorrected = -1.5353 eV/atom
Symmetry = P-1, No. 2
VASP energy = -40.17 eV/cell
Size of the total moment = 0.000 μB per formula unit

***

No. 4
DFT (PBE) results for a geometry-optimized NdSm2Se3 structure.

Cell: 4.207 5.918 7.252 Å, 114.08 106.86 90.00°
Fractional positions:
1 Nd 0.500 0.500 0.500
2 Sm 0.836 0.836 0.171
3 Sm 0.164 0.164 0.829
4 Se 0.830 0.330 0.160
5 Se 0.170 0.670 0.840
6 Se 0.500 0.000 0.500

Computed properties:
Crystal system = orthorhombic
Energy relative to the elements, uncorrected = -1.8224 eV/atom
Symmetry = Immm, No. 71
VASP energy = -35.59 eV/cell
Size of the total moment = 0.000 μB per formula unit

***

No. 5
DFT (PBE) results for a geometry-optimized Nd2SmSe4 structure.

Cell: 4.240 7.466 8.231 Å, 119.35 104.93 90.00°
Fractional positions:
1 Nd 0.272 0.265 0.545
2 Nd 0.728 0.735 0.455
3 Sm 0.000 0.000 0.000
4 Se 0.122 0.809 0.243
5 Se 0.878 0.191 0.757
6 Se 0.363 0.728 0.726
7 Se 0.637 0.272 0.274

Computed properties:
Polymorph energy (0 for the lowest one) = 0.022 eV/atom
Crystal system = monoclinic
Energy relative to the elements, uncorrected = -1.8241 eV/atom
Symmetry = C2/m, No. 12
VASP energy = -40.96 eV/cell
Size of the total moment = 0.000 μB per formula unit

***

No. 6
DFT (PBE) results for a geometry-optimized Nd2Sm3Se4 structure.

Cell: 4.144 7.200 9.278 Å, 74.52 77.10 73.27°
Fractional positions:
1 Nd 0.596 0.209 0.598
2 Nd 0.404 0.791 0.402
3 Sm 0.000 0.000 0.000
4 Sm 0.203 0.392 0.202
5 Sm 0.797 0.608 0.798
6 Se 0.802 0.094 0.301
7 Se 0.198 0.906 0.699
8 Se 0.397 0.304 0.903
9 Se 0.603 0.696 0.097

Computed properties:
Crystal system = monoclinic
Energy relative to the elements, uncorrected = -1.5913 eV/atom
Symmetry = C2/m, No. 12
VASP energy = -51.95 eV/cell
Size of the total moment = 0.000 μB per formula unit